! Co2PbO3 | the Alexandria database | PBE with a Hubbard U | optimized geometry; values from VASP
&SYSTEM
  ibrav = 0, nat = 12, ntyp = 3
/
ATOMIC_SPECIES
Co 58.93 Co.upf
O 16.00 O.upf
Pb 207.20 Pb.upf
ATOMIC_POSITIONS crystal
Co 0.2493 0.4520 0.6520
O 0.3136 0.1407 0.4152
O 0.1015 0.6407 0.4152
Co 0.4027 0.9520 0.6520
Pb 0.9016 0.7500 0.0000
O 0.8985 0.3593 0.5848
O 0.5438 0.7500 0.0000
Co 0.7507 0.5480 0.3480
Co 0.5973 0.0480 0.3480
O 0.6864 0.8593 0.5848
O 0.4562 0.2500 0.0000
Pb 0.0984 0.2500 0.0000
CELL_PARAMETERS angstrom
6.2512 0.0000 0.0000
0.0000 6.0562 -0.7648
-3.1256 -2.1024 4.8945
! Symmetry: C2/c (15)
! Calculated volume, A^3/atom: 14.60
! Total DFT energy (no corrections), eV/atom: -5.691